{"formula": "Sc2CdAu", "functional": "PBE", "state": "optimized geometry", "space_group": "Immm (71)", "total_energy_ev_per_atom": -4.04, "formation_enthalpy_0k_kj_per_mol_atoms": 16.6, "density_g_cm3": 7.0, "magmom_total_mub_per_fu": 0.0, "cell": [[-1.527, 2.541, 6.072], [1.527, -2.541, 6.072], [1.527, 2.541, -6.072]], "species": ["Sc", "Sc", "Cd", "Au"], "frac_coords": [[0.223, 0.223, 0.000], [0.777, 0.777, 0.000], [0.500, 0.500, 0.000], [0.000, 0.000, 0.000]]}